1.
Below is crystalline SrAlIn at its relaxed geometry, with properties calculated at the PBE-GGA level.

Computed properties:
Total magnetization in μB/f.u.: 0.0

Unit cell a=11.5919 b=4.9148 c=8.0459 alpha=90.00 beta=133.48 gamma=90.00
Space group C2/m (No. 12)
Unique sites:
Sr  0.0481  0.0000  0.2988 (multiplicity 4)
Al  0.1521  0.5000  0.0954 (multiplicity 4)
In  0.1694  0.5000  0.7377 (multiplicity 4)

***

2.
Below is crystalline Sr3Al2In4 at its relaxed geometry, with properties calculated at the PBE-GGA level.

Computed properties:
Total magnetization in μB/f.u.: 0.0

Unit cell a=11.7201 b=4.9941 c=18.2897 alpha=90.00 beta=105.83 gamma=90.00
Space group Cm (No. 8)
Unique sites:
Sr  0.0000  0.0000  0.0000 (multiplicity 2)
Sr  0.0594  0.5000  0.5284 (multiplicity 2)
Sr  0.1660  0.5000  0.3332 (multiplicity 2)
Sr  0.2259  0.0000  0.8633 (multiplicity 2)
Sr  0.3317  0.0000  0.6647 (multiplicity 2)
Sr  0.3955  0.5000  0.1995 (multiplicity 2)
Al  0.0786  0.5000  0.1326 (multiplicity 2)
Al  0.2327  0.0000  0.4634 (multiplicity 2)
Al  0.4096  0.5000  0.7973 (multiplicity 2)
Al  0.4932  0.5000  0.3989 (multiplicity 2)
In  0.0196  0.5000  0.8548 (multiplicity 2)
In  0.0299  0.0000  0.6728 (multiplicity 2)
In  0.1621  0.5000  0.7303 (multiplicity 2)
In  0.1894  0.0000  0.1906 (multiplicity 2)
In  0.1990  0.5000  0.0088 (multiplicity 2)
In  0.3310  0.0000  0.0656 (multiplicity 2)
In  0.3543  0.5000  0.5167 (multiplicity 2)
In  0.3709  0.0000  0.3451 (multiplicity 2)

***

Results for VASP energy: -36.8; -107.5 (in eV/cell, following the order of the records).
Results for mass density: 4.58; 5.01 (in g/cm3, following the order of the records).